Compound: MgNi2
Source: the Alexandria database
Functional: GGA-PBE
Structure: relaxed

Values from the calculation:
- formation enthalpy at 0 K (eV per atom) = -0.028
- mass density (g/cm³) = 5.9

The structure in CIF format:
```
data_MgNi2
_space_group_name_H-M_alt 'P 6/m m m'
_space_group_IT_number 191
_space_group_name_Hall '-P 6 2'
_cell_length_a 4.1135
_cell_length_b 4.1135
_cell_length_c 2.7059
_cell_angle_alpha 90.00
_cell_angle_beta 90.00
_cell_angle_gamma 120.00
loop_
_atom_site_label
_atom_site_type_symbol
_atom_site_fract_x
_atom_site_fract_y
_atom_site_fract_z
_atom_site_occupancy
Mg1 Mg 0.0000 0.0000 0.0000 1
Ni1 Ni 0.3333 0.6667 0.5000 1
```

Compound: Tc3PdI
Source: the Alexandria database
Functional: GGA-PBE
Structure: relaxed

Values from the calculation:
- uncorrected formation energy (kJ/mol of formula units) = 982
- mass density (g/cm³) = 7.0
- offset from the most stable computed form (meV/atom) = 0

The structure in CIF format:
```
data_Tc3PdI
_space_group_name_H-M_alt 'P m -3 m'
_space_group_IT_number 221
_space_group_name_Hall '-P 4 2 3'
_cell_length_a 5.0012
_cell_length_b 5.0012
_cell_length_c 5.0012
_cell_angle_alpha 90.00
_cell_angle_beta 90.00
_cell_angle_gamma 90.00
loop_
_atom_site_label
_atom_site_type_symbol
_atom_site_fract_x
_atom_site_fract_y
_atom_site_fract_z
_atom_site_occupancy
Tc1 Tc 0.0000 0.0000 0.5000 1
Pd1 Pd 0.0000 0.0000 0.0000 1
I1 I 0.5000 0.5000 0.5000 1
```

Compound: ScCu6
Source: the Alexandria database
Functional: GGA-PBE
Structure: relaxed

Values from the calculation:
- formation enthalpy at 0 K (eV per atom) = -0.110
- mass density (g/cm³) = 7.4
- offset from the most stable computed form (meV/atom) = 0

The structure in CIF format:
```
data_ScCu6
_space_group_name_H-M_alt 'P n m a'
_space_group_IT_number 62
_cell_length_a 7.8478
_cell_length_b 4.9169
_cell_length_c 9.9078
_cell_angle_alpha 90.00
_cell_angle_beta 90.00
_cell_angle_gamma 90.00
loop_
_space_group_symop_operation_xyz
'x,y,z'
'-x,-y,-z'
'-x+1/2,-y,z+1/2'
'x+1/2,y,-z+1/2'
'x+1/2,-y+1/2,-z+1/2'
'-x+1/2,y+1/2,z+1/2'
'-x,y+1/2,-z'
'x,-y+1/2,z'
loop_
_atom_site_label
_atom_site_type_symbol
_atom_site_fract_x
_atom_site_fract_y
_atom_site_fract_z
_atom_site_occupancy
Sc1 Sc 0.2431 0.2500 0.0670 1
Cu1 Cu 0.0608 0.7500 0.0861 1
Cu2 Cu 0.0632 0.0074 0.3077 1
Cu3 Cu 0.1031 0.2500 0.5183 1
Cu4 Cu 0.1462 0.7500 0.8515 1
Cu5 Cu 0.1860 0.2500 0.7590 1
```

Compound: Y2NiHgPb
Source: the Alexandria database
Functional: GGA-PBE
Structure: relaxed

Values from the calculation:
- formation enthalpy at 0 K (eV per atom) = -0.246
- mass density (g/cm³) = 8.1
- offset from the most stable computed form (meV/atom) = 0

The structure in CIF format:
```
data_Y2NiHgPb
_space_group_name_H-M_alt 'P 4/m m m'
_space_group_IT_number 123
_space_group_name_Hall '-P 4 2'
_cell_length_a 5.1855
_cell_length_b 5.1855
_cell_length_c 4.9133
_cell_angle_alpha 90.00
_cell_angle_beta 90.00
_cell_angle_gamma 90.00
loop_
_atom_site_label
_atom_site_type_symbol
_atom_site_fract_x
_atom_site_fract_y
_atom_site_fract_z
_atom_site_occupancy
Y1 Y 0.0000 0.5000 0.0000 1
Ni1 Ni 0.0000 0.0000 0.0000 1
Hg1 Hg 0.0000 0.0000 0.5000 1
Pb1 Pb 0.5000 0.5000 0.5000 1
```

Compound: Mg3Ag2
Source: the Alexandria database
Functional: GGA-PBE
Structure: relaxed

Values from the calculation:
- formation enthalpy at 0 K (eV per atom) = -0.090
- mass density (g/cm³) = 4.8
- offset from the most stable computed form (meV/atom) = 117

The structure in CIF format:
```
data_Mg3Ag2
_space_group_name_H-M_alt 'R -3 m'
_space_group_IT_number 166
_space_group_name_Hall '-R 3 2"'
_cell_length_a 3.0739
_cell_length_b 3.0739
_cell_length_c 36.3003
_cell_angle_alpha 90.00
_cell_angle_beta 90.00
_cell_angle_gamma 120.00
loop_
_atom_site_label
_atom_site_type_symbol
_atom_site_fract_x
_atom_site_fract_y
_atom_site_fract_z
_atom_site_occupancy
Mg1 Mg 0.0000 0.0000 0.0000 1
Mg2 Mg 0.0000 0.0000 0.2049 1
Ag1 Ag 0.0000 0.0000 0.3978 1
```

Compound: Gd2IrSe
Source: the Alexandria database
Functional: GGA-PBE
Structure: relaxed

Values from the calculation:
- uncorrected formation energy (kJ/mol of formula units) = -481
- mass density (g/cm³) = 9.7
- offset from the most stable computed form (meV/atom) = 0

The structure in CIF format:
```
data_Gd2IrSe
_space_group_name_H-M_alt 'R -3 m'
_space_group_IT_number 166
_space_group_name_Hall '-R 3 2"'
_cell_length_a 4.0378
_cell_length_b 4.0378
_cell_length_c 21.2390
_cell_angle_alpha 90.00
_cell_angle_beta 90.00
_cell_angle_gamma 120.00
loop_
_atom_site_label
_atom_site_type_symbol
_atom_site_fract_x
_atom_site_fract_y
_atom_site_fract_z
_atom_site_occupancy
Gd1 Gd 0.0000 0.0000 0.2424 1
Ir1 Ir 0.0000 0.0000 0.5000 1
Se1 Se 0.0000 0.0000 0.0000 1
```

Compound: CoTe3Pd
Source: the Alexandria database
Functional: GGA-PBE
Structure: relaxed

Values from the calculation:
- uncorrected formation energy (kJ/mol of formula units) = -59
- mass density (g/cm³) = 7.1
- offset from the most stable computed form (meV/atom) = 3

The structure in CIF format:
```
data_CoTe3Pd
_space_group_name_H-M_alt 'C 1 2/c 1'
_space_group_IT_number 15
_cell_length_a 12.5910
_cell_length_b 11.1005
_cell_length_c 7.3867
_cell_angle_alpha 90.00
_cell_angle_beta 96.12
_cell_angle_gamma 90.00
loop_
_space_group_symop_operation_xyz
'x,y,z'
'-x,-y,-z'
'-x,y,-z+1/2'
'x,-y,z+1/2'
'x+1/2,y+1/2,z'
'-x+1/2,-y+1/2,-z'
'-x+1/2,y+1/2,-z+1/2'
'x+1/2,-y+1/2,z+1/2'
loop_
_atom_site_label
_atom_site_type_symbol
_atom_site_fract_x
_atom_site_fract_y
_atom_site_fract_z
_atom_site_occupancy
Co1 Co 0.2402 0.0705 0.0311 1
Te1 Te 0.1271 0.0468 0.7297 1
Te2 Te 0.1277 0.2669 0.0667 1
Te3 Te 0.1389 0.4337 0.6634 1
Pd1 Pd 0.0000 0.2505 0.7500 1
Pd2 Pd 0.0000 0.4003 0.2500 1
```

Compound: Ni3Br
Source: the Alexandria database
Functional: GGA-PBE
Structure: relaxed

Values from the calculation:
- uncorrected formation energy (kJ/mol of formula units) = 193
- mass density (g/cm³) = 7.0
- offset from the most stable computed form (meV/atom) = 199

The structure in CIF format:
```
data_Ni3Br
_space_group_name_H-M_alt 'R -3 m'
_space_group_IT_number 166
_space_group_name_Hall '-R 3 2"'
_cell_length_a 3.4707
_cell_length_b 3.4707
_cell_length_c 17.4431
_cell_angle_alpha 90.00
_cell_angle_beta 90.00
_cell_angle_gamma 120.00
loop_
_atom_site_label
_atom_site_type_symbol
_atom_site_fract_x
_atom_site_fract_y
_atom_site_fract_z
_atom_site_occupancy
Ni1 Ni 0.0000 0.0000 0.0000 1
Ni2 Ni 0.0000 0.0000 0.2666 1
Br1 Br 0.0000 0.0000 0.5000 1
```

Number 1: final energy -4.414 eV/atom. Number 2: final energy -5.533 eV/atom. Number 3: final energy -4.525 eV/atom. Number 4: final energy -4.789 eV/atom. Number 5: final energy -2.187 eV/atom. Number 6: final energy -11.374 eV/atom. Number 7: final energy -4.467 eV/atom. Number 8: final energy -4.254 eV/atom.